1.
YTl2Cr: relaxed, PBE.

The structure in POSCAR format:
```
YTl2Cr
1.0
1.740 1.005 10.005
-1.740 1.005 10.005
0.000 -2.010 10.005
Y Tl Cr
1 2 1
Direct
0.000 0.000 0.000
0.513 0.513 0.513
0.757 0.757 0.757
0.257 0.257 0.257
```

Summary:
For the total magnetization, the calculation gives 3.71 μB/f.u. Its energy is -19.4 eV/cell. The calculated volume is 26.2 Å³/atom. The calculation puts the density of states at the Fermi level at 3.49 states/eV/f.u.

---

2.
YTl2Cr: relaxed, PBE.

The structure in POSCAR format:
```
YTl2Cr
1.0
3.408 0.000 0.000
0.000 4.784 0.000
-1.088 0.000 6.148
Y Tl Cr
1 2 1
Direct
0.000 0.000 0.000
0.363 0.500 0.738
0.637 0.500 0.262
0.500 0.000 0.500
```

Summary:
For the total magnetization, the calculation gives 4.12 μB/f.u. Its energy is -20.1 eV/cell. The calculated volume is 25.1 Å³/atom. The calculation puts the density of states at the Fermi level at 2.91 states/eV/f.u.

---

3.
YTl2Cr: relaxed, PBE.

The structure in POSCAR format:
```
YTl2Cr
1.0
3.540 0.000 0.000
0.000 4.758 0.000
-1.748 0.000 6.039
Y Tl Cr
1 2 1
Direct
0.000 0.000 0.000
0.362 0.500 0.721
0.736 0.000 0.473
0.603 0.500 0.208
```

Summary:
For the total magnetization, the calculation gives 3.81 μB/f.u. Its energy is -19.9 eV/cell. The calculated volume is 25.4 Å³/atom. The calculation puts the density of states at the Fermi level at 2.31 states/eV/f.u.

---

4.
Tl2ZnCr: relaxed, PBE.

The structure in POSCAR format:
```
Tl2ZnCr
1.0
0.000 3.584 3.584
3.584 0.000 3.584
3.584 3.584 0.000
Tl Zn Cr
2 1 1
Direct
0.000 0.000 0.000
0.250 0.250 0.250
0.500 0.500 0.500
0.750 0.750 0.750
```

Summary:
The energy above the lowest structure with this stoichiometry comes out at 146 meV per atom. For the total magnetization, the calculation gives 4.44 μB/f.u. Its energy is -13.6 eV/cell. The calculated volume is 23.0 Å³/atom. The calculation puts the density of states at the Fermi level at 2.34 states/eV/f.u.